# 1
A plane-wave DFT calculation with PBE was carried out for Er3Te2C after structural relaxation.

Unit cell a=17.705 b=5.927 c=5.829 alpha=90.00 beta=90.00 gamma=90.00
Space group Cmc2_1 (No. 36)
One atom of each set of equivalent atoms:
Er 0.000 0.192 0.000 x4
Er 0.128 0.247 0.468 x8
Te 0.174 0.254 0.969 x8
C 0.000 0.201 0.436 x4

Summary:
uncorrected formation energy = -0.9204 eV per atom
energy above the lowest structure with this stoichiometry = 0.0323 eV per atom
total energy = -138.87 eV/cell
theoretical density = 8.350 g/cm³
density of states at the Fermi level = 11.94 states/eV/cell



# 2
A plane-wave DFT calculation with PBE was carried out for AuIBrN2 after structural relaxation.

Unit cell a=4.010 b=4.010 c=8.540 alpha=90.00 beta=90.00 gamma=90.00
Space group P4/mmm (No. 123)
One atom of each set of equivalent atoms:
Au 0.000 0.000 0.000 x1
I 0.500 0.500 0.000 x1
Br 0.500 0.500 0.500 x1
N 0.000 0.500 0.500 x2

Summary:
uncorrected formation energy = 1.9496 eV per atom
energy above the lowest structure with this stoichiometry = 0.3454 eV per atom
total energy = -13.40 eV/cell
theoretical density = 5.221 g/cm³
density of states at the Fermi level = 3.38 states/eV/cell



# 3
A plane-wave DFT calculation with PBE was carried out for NpSiH2 after structural relaxation.

Unit cell a=2.7798 b=2.7798 c=20.0115 alpha=90.00 beta=90.00 gamma=120.00
Space group R-3m (No. 166, hexagonal axes)
One atom of each set of equivalent atoms:
Np 0.0000 0.0000 0.0000 x3
Si 0.0000 0.0000 0.5000 x3
H 0.0000 0.0000 0.4119 x6

Summary:
energy above the lowest structure with this stoichiometry = 0.4420 eV per atom
total energy = -71.43 eV/cell
theoretical density = 9.936 g/cm³
density of states at the Fermi level = 14.33 states/eV/cell



# 4
A plane-wave DFT calculation with PBE was carried out for Rb2ZrTeF after structural relaxation.

Unit cell a=7.040 b=7.040 c=5.537 alpha=90.00 beta=90.00 gamma=90.00
Space group P4/mmm (No. 123)
One atom of each set of equivalent atoms:
Rb 0.000 0.500 0.000 x2
Zr 0.000 0.000 0.500 x1
Te 0.000 0.000 0.000 x1
F 0.500 0.500 0.500 x1

Summary:
uncorrected formation energy = -0.4548 eV per atom
total energy = -17.77 eV/cell
theoretical density = 2.473 g/cm³
density of states at the Fermi level = 1.66 states/eV/cell



# 5
A plane-wave DFT calculation with PBE was carried out for Pm3TmTh2As6 after structural relaxation.

Unit cell a=18.396 b=4.225 c=8.428 alpha=90.00 beta=103.42 gamma=90.00
Space group C2/m (No. 12)
One atom of each set of equivalent atoms:
Pm 0.000 0.000 0.000 x2
Pm 0.166 0.500 0.334 x4
Tm 0.000 0.000 0.500 x2
Th 0.164 0.500 0.830 x4
As 0.000 0.500 0.258 x4
As 0.164 0.000 0.582 x4
As 0.167 0.000 0.083 x4

Summary:
total energy = -158.73 eV/cell
theoretical density = 7.910 g/cm³
formation energy = -1.492 eV per atom
density of states at the Fermi level = 8.22 states/eV/cell



# 6
A plane-wave DFT calculation with PBE was carried out for Ta2HO2 after structural relaxation.

Unit cell a=6.068 b=6.068 c=2.799 alpha=90.00 beta=90.00 gamma=90.00
Space group P4/mbm (No. 127)
One atom of each set of equivalent atoms:
Ta 0.172 0.328 0.000 x4
H 0.000 0.000 0.000 x2
O 0.135 0.635 0.500 x4

Summary:
energy above the lowest structure with this stoichiometry = 0.0898 eV per atom
total energy = -81.47 eV/cell
theoretical density = 12.729 g/cm³
density of states at the Fermi level = 8.66 states/eV/cell